(1)
VASP calculation (PBE-GGA) on a relaxed Cs2NbAgSe4 crystal.

formation energy from raw total energies = -0.9789 eV/atom
energy above the most stable polymorph in this dataset = 0.00 eV per formula unit
final energy = -36.398 eV/f.u.
symmetry = Fddd
size of the total moment = 0.00 μB per formula unit

a b c (Å): 14.9664 13.3279 8.0868
angles (deg): 84.93 62.50 32.56
Element x y z (fractional)
Cs1 0.0543 0.0543 0.6957
Cs2 0.3043 0.3043 0.9457
Cs3 0.6957 0.6957 0.0543
Cs4 0.9457 0.9457 0.3043
Nb1 0.1250 0.1250 0.1250
Nb2 0.8750 0.8750 0.8750
Ag1 0.3750 0.3750 0.3750
Ag2 0.6250 0.6250 0.6250
Se1 0.0571 0.3031 0.3862
Se2 0.2464 0.6138 0.6969
Se3 0.3031 0.0571 0.7536
Se4 0.3862 0.7536 0.0571
Se5 0.6138 0.2464 0.9429
Se6 0.6969 0.9429 0.2464
Se7 0.7536 0.3862 0.3031
Se8 0.9429 0.6969 0.6138

***

(2)
VASP calculation (PBE-GGA) on a relaxed CsTi2NbAg crystal.

final energy = -22.710 eV/f.u.
symmetry = P4/mmm
size of the total moment = 0.00 μB per formula unit

a b c (Å): 4.8770 4.8770 6.2680
angles (deg): 90.00 90.00 90.00
Element x y z (fractional)
Cs1 0.0000 0.0000 0.0000
Ti1 0.0000 0.5000 0.5000
Ti2 0.5000 0.0000 0.5000
Nb1 0.0000 0.0000 0.5000
Ag1 0.5000 0.5000 0.0000

***

(3)
VASP calculation (PBE-GGA) on a relaxed CsNd2AgO4 crystal.

formation energy from raw total energies = -2.2097 eV/atom
final energy = -50.751 eV/f.u.
symmetry = Cmcm
size of the total moment = 0.00 μB per formula unit

a b c (Å): 6.5263 6.5263 12.8361
angles (deg): 90.00 90.00 146.75
Element x y z (fractional)
Cs1 0.0942 0.9058 0.7500
Cs2 0.9058 0.0942 0.2500
Nd1 0.3665 0.6335 0.5586
Nd2 0.3665 0.6335 0.9414
Nd3 0.6335 0.3665 0.0586
Nd4 0.6335 0.3665 0.4414
Ag1 0.1849 0.8151 0.2500
Ag2 0.8151 0.1849 0.7500
O1 0.0000 0.0000 0.0000
O2 0.0000 0.0000 0.5000
O3 0.2489 0.7511 0.0847
O4 0.2489 0.7511 0.4153
O5 0.4191 0.5809 0.7500
O6 0.5809 0.4191 0.2500
O7 0.7511 0.2489 0.5847
O8 0.7511 0.2489 0.9153

***

Number 1: calculated density 4.35 g/cm3. Number 2: calculated density 4.78 g/cm3. Number 3: calculated density 6.57 g/cm3.